Record 1
SrZrTa | GGA-PBE | optimized geometry

POSCAR file:
```
SrZrTa
1.0
-3.0642 -7.6014 -2.1596
-2.5363 -7.9167 0.9144
-3.0966 0.4870 -0.0339
Ta Zr Sr
1 1 1
direct
0.3180 0.3180 0.6820 Ta
0.6912 0.6912 0.3088 Zr
0.9907 0.9907 0.0093 Sr
```

Values from the calculation:
Symmetry   No. 42
DFT formation energy   0.604 eV per atom
Crystal system   orthorhombic
Energy above the lowest structure with this stoichiometry   0 meV/atom
Uncorrected energy   -20.27 eV for the cell shown



Record 2
SrZr2Ta | GGA-PBE | optimized geometry

POSCAR file:
```
SrZr2Ta
1.0
11.2359 0.0122 0.0071
10.7612 3.2314 0.0071
10.7612 1.5868 2.8150
Sr Zr Ta
1 2 1
direct
0.2500 0.2500 0.2500 Sr
0.4878 0.4878 0.4878 Zr
0.0122 0.0122 0.0122 Zr
0.7500 0.7500 0.7500 Ta
```

Values from the calculation:
Symmetry   No. 166
DFT formation energy   0.492 eV per atom
Crystal system   trigonal
Energy above the lowest structure with this stoichiometry   191 meV/atom
Uncorrected energy   -28.66 eV for the cell shown



Record 3
SrZrTa | GGA-PBE | optimized geometry

POSCAR file:
```
SrZrTa
1.0
3.2506 0.0000 0.0000
-1.6253 2.8151 0.0000
0.0000 0.0000 8.4136
Sr Zr Ta
1 1 1
direct
0.0000 0.0000 0.0124 Sr
0.3333 0.6667 0.6314 Zr
0.6667 0.3333 0.3561 Ta
```

Values from the calculation:
Symmetry   No. 156
DFT formation energy   0.734 eV per atom
Crystal system   trigonal
Energy above the lowest structure with this stoichiometry   130 meV/atom
Uncorrected energy   -19.88 eV for the cell shown



Look up the DFT formation energy of the first one.
0.604 eV per atom